1.
# TbGdRu4 | Alexandria via LeMat-Bulk | PBE | optimized geometry
# ΔH_f (0 K) in eV/atom: -0.270
# Density of states at the Fermi level in states/eV/f.u.: 5.94
data_TbGdRu4
_cell_length_a 7.5702
_cell_length_b 7.5702
_cell_length_c 7.5702
_cell_angle_alpha 90.00
_cell_angle_beta 90.00
_cell_angle_gamma 90.00
_symmetry_space_group_name_H-M 'F -4 3 m'
_symmetry_Int_Tables_number 216
_symmetry_space_group_name_Hall 'F -4 2 3'
loop_
_atom_site_label
_atom_site_type_symbol
_atom_site_fract_x
_atom_site_fract_y
_atom_site_fract_z
Tb1 Tb 0.0000 0.0000 0.0000
Gd1 Gd 0.2500 0.2500 0.2500
Ru1 Ru 0.1250 0.1250 0.6250

---

2.
# LaYMn2Si2 | Alexandria via LeMat-Bulk | PBE | optimized geometry
# Density of states at the Fermi level in states/eV/f.u.: 3.35
# Total DFT energy (no corrections) in eV/atom: -7.29
data_LaYMn2Si2
_cell_length_a 3.9494
_cell_length_b 3.9494
_cell_length_c 7.6397
_cell_angle_alpha 90.00
_cell_angle_beta 90.00
_cell_angle_gamma 90.00
_symmetry_space_group_name_H-M 'P 4 m m'
_symmetry_Int_Tables_number 99
_symmetry_space_group_name_Hall 'P 4 -2'
loop_
_atom_site_label
_atom_site_type_symbol
_atom_site_fract_x
_atom_site_fract_y
_atom_site_fract_z
La1 La 0.0000 0.0000 0.0000
Y1 Y 0.5000 0.5000 0.3564
Mn1 Mn 0.0000 0.5000 0.6592
Si1 Si 0.0000 0.0000 0.4741
Si2 Si 0.5000 0.5000 0.8395

---

3.
# Rb2NaTaCr | Alexandria via LeMat-Bulk | PBE | optimized geometry
# ΔH_f (0 K) in eV/atom: 1.301
# Density of states at the Fermi level in states/eV/f.u.: 6.13
data_Rb2NaTaCr
_cell_length_a 6.8687
_cell_length_b 6.8687
_cell_length_c 4.6802
_cell_angle_alpha 90.00
_cell_angle_beta 90.00
_cell_angle_gamma 90.00
_symmetry_space_group_name_H-M 'P 4/m m m'
_symmetry_Int_Tables_number 123
_symmetry_space_group_name_Hall '-P 4 2'
loop_
_atom_site_label
_atom_site_type_symbol
_atom_site_fract_x
_atom_site_fract_y
_atom_site_fract_z
Rb1 Rb 0.0000 0.5000 0.0000
Na1 Na 0.0000 0.0000 0.5000
Ta1 Ta 0.5000 0.5000 0.5000
Cr1 Cr 0.5000 0.5000 0.0000

---

4.
# AsRh2W | Alexandria via LeMat-Bulk | PBE | optimized geometry
# ΔH_f (0 K) in eV/atom: -0.116
# Density of states at the Fermi level in states/eV/f.u.: 2.91
data_AsRh2W
_cell_length_a 2.8657
_cell_length_b 2.8657
_cell_length_c 7.3824
_cell_angle_alpha 90.00
_cell_angle_beta 90.00
_cell_angle_gamma 90.00
_symmetry_space_group_name_H-M 'P 4/m m m'
_symmetry_Int_Tables_number 123
_symmetry_space_group_name_Hall '-P 4 2'
loop_
_atom_site_label
_atom_site_type_symbol
_atom_site_fract_x
_atom_site_fract_y
_atom_site_fract_z
As1 As 0.0000 0.0000 0.0000
Rh1 Rh 0.5000 0.5000 0.2504
W1 W 0.0000 0.0000 0.5000

---

5.
# NpPH2 | Alexandria via LeMat-Bulk | PBE | optimized geometry
# Density of states at the Fermi level in states/eV/f.u.: 5.44
# Total DFT energy (no corrections) in eV/atom: -6.55
data_NpPH2
_cell_length_a 3.6527
_cell_length_b 3.6527
_cell_length_c 11.3809
_cell_angle_alpha 90.00
_cell_angle_beta 90.00
_cell_angle_gamma 120.00
_symmetry_space_group_name_H-M 'R -3 m'
_symmetry_Int_Tables_number 166
_symmetry_space_group_name_Hall '-R 3 2"'
loop_
_atom_site_label
_atom_site_type_symbol
_atom_site_fract_x
_atom_site_fract_y
_atom_site_fract_z
Np1 Np 0.0000 0.0000 0.0000
P1 P 0.0000 0.0000 0.5000
H1 H 0.0000 0.0000 0.2945

---

6.
# CsN3Cl | Alexandria via LeMat-Bulk | PBE | optimized geometry
# Total DFT energy (no corrections) in eV/atom: -3.17
data_CsN3Cl
_cell_length_a 6.9769
_cell_length_b 6.9537
_cell_length_c 8.1040
_cell_angle_alpha 90.00
_cell_angle_beta 101.43
_cell_angle_gamma 90.00
_symmetry_space_group_name_H-M 'C 1 m 1'
_symmetry_Int_Tables_number 8
_symmetry_space_group_name_Hall 'C -2y'
loop_
_atom_site_label
_atom_site_type_symbol
_atom_site_fract_x
_atom_site_fract_y
_atom_site_fract_z
Cs1 Cs 0.0000 0.0000 0.0000
N1 N 0.0799 0.5000 0.6882
N2 N 0.2986 0.2578 0.3244
Cl1 Cl 0.0052 0.5000 0.0315

---

7.
# AlIn2SiNi | Alexandria via LeMat-Bulk | PBE | optimized geometry
# Density of states at the Fermi level in states/eV/f.u.: 3.69
# Total DFT energy (no corrections) in eV/atom: -3.28
data_AlIn2SiNi
_cell_length_a 5.2381
_cell_length_b 5.2381
_cell_length_c 4.3980
_cell_angle_alpha 90.00
_cell_angle_beta 90.00
_cell_angle_gamma 90.00
_symmetry_space_group_name_H-M 'P 4/m m m'
_symmetry_Int_Tables_number 123
_symmetry_space_group_name_Hall '-P 4 2'
loop_
_atom_site_label
_atom_site_type_symbol
_atom_site_fract_x
_atom_site_fract_y
_atom_site_fract_z
Al1 Al 0.0000 0.0000 0.0000
In1 In 0.0000 0.5000 0.0000
Si1 Si 0.5000 0.5000 0.5000
Ni1 Ni 0.0000 0.0000 0.5000

---

8.
# La12CeIn6 | Alexandria via LeMat-Bulk | PBE | optimized geometry
# ΔH_f (0 K) in eV/atom: -0.255
# Density of states at the Fermi level in states/eV/f.u.: 27.34
data_La12CeIn6
_cell_length_a 12.0418
_cell_length_b 12.0418
_cell_length_c 14.6346
_cell_angle_alpha 90.00
_cell_angle_beta 90.00
_cell_angle_gamma 120.00
_symmetry_space_group_name_H-M 'R -3'
_symmetry_Int_Tables_number 148
_symmetry_space_group_name_Hall '-R 3'
loop_
_atom_site_label
_atom_site_type_symbol
_atom_site_fract_x
_atom_site_fract_y
_atom_site_fract_z
La1 La 0.0475 0.8577 0.3064
La2 La 0.0645 0.2213 0.9059
Ce1 Ce 0.0000 0.0000 0.5000
In1 In 0.0322 0.5899 0.2105

---

9.
# KSi2Hg | Alexandria via LeMat-Bulk | PBE | optimized geometry
# Density of states at the Fermi level in states/eV/f.u.: 2.31
# Total DFT energy (no corrections) in eV/atom: -2.45
data_KSi2Hg
_cell_length_a 3.6355
_cell_length_b 3.6355
_cell_length_c 26.9805
_cell_angle_alpha 90.00
_cell_angle_beta 90.00
_cell_angle_gamma 120.00
_symmetry_space_group_name_H-M 'R -3 m'
_symmetry_Int_Tables_number 166
_symmetry_space_group_name_Hall '-R 3 2"'
loop_
_atom_site_label
_atom_site_type_symbol
_atom_site_fract_x
_atom_site_fract_y
_atom_site_fract_z
K1 K 0.0000 0.0000 0.0000
Si1 Si 0.0000 0.0000 0.2310
Hg1 Hg 0.0000 0.0000 0.5000

---

What is the formula in the fourth record? AsRh2W

---

Number 6 is which compound? CsN3Cl